# NdZrHg | OQMD via LeMat-Bulk | PBE | optimized geometry
# DFT total energy (Ha/atom): -0.15860
data_NdZrHg
_space_group_name_H-M_alt 'F -4 3 m'
_space_group_IT_number 216
_space_group_name_Hall 'F -4 2 3'
_cell_length_a 7.103
_cell_length_b 7.103
_cell_length_c 7.103
_cell_angle_alpha 90.00
_cell_angle_beta 90.00
_cell_angle_gamma 90.00
loop_
_atom_site_label
_atom_site_type_symbol
_atom_site_fract_x
_atom_site_fract_y
_atom_site_fract_z
Nd1 Nd 0.000 0.000 0.000
Zr1 Zr 0.000 0.000 0.500
Hg1 Hg 0.250 0.250 0.250

---

# PrZnPd | OQMD via LeMat-Bulk | PBE | optimized geometry
# DFT total energy (Ha/atom): -0.15554
data_PrZnPd
_space_group_name_H-M_alt 'F -4 3 m'
_space_group_IT_number 216
_space_group_name_Hall 'F -4 2 3'
_cell_length_a 6.669
_cell_length_b 6.669
_cell_length_c 6.669
_cell_angle_alpha 90.00
_cell_angle_beta 90.00
_cell_angle_gamma 90.00
loop_
_atom_site_label
_atom_site_type_symbol
_atom_site_fract_x
_atom_site_fract_y
_atom_site_fract_z
Pr1 Pr 0.000 0.000 0.000
Zn1 Zn 0.000 0.000 0.500
Pd1 Pd 0.250 0.250 0.250